The following is a PBE calculation of CsHg2SbPd after structural relaxation, from Alexandria.

a b c (Å): 5.4855 5.4855 5.3269
angles (deg): 90.00 90.00 90.00
Space group P4/mmm (No. 123)
Asymmetric unit:
Cs  0.0000  0.0000  0.0000 (multiplicity 1)
Hg  0.0000  0.5000  0.5000 (multiplicity 2)
Sb  0.5000  0.5000  0.0000 (multiplicity 1)
Pd  0.5000  0.5000  0.5000 (multiplicity 1)

Results
The total energy comes out at -2.33 eV per atom. The distance to the lowest polymorph of the same formula is 0 meV/atom.

***

The following is a PBE calculation of CsHgPdSe2 after structural relaxation, from Alexandria.

a b c (Å): 7.8516 5.3196 7.6416
angles (deg): 90.00 100.03 90.00
Space group P2/c (No. 13)
Asymmetric unit:
Cs  0.0000  0.1595  0.2500 (multiplicity 2)
Hg  0.5000  0.0000  0.0000 (multiplicity 2)
Pd  0.5000  0.4404  0.2500 (multiplicity 2)
Se  0.2906  0.3680  0.9566 (multiplicity 4)

Results
The total energy comes out at -3.12 eV per atom.

***

Number 1 is which compound? CsHg2SbPd

***

What did the second record say?
The following is a PBE calculation of CsHgPdSe2 after structural relaxation, from Alexandria.

a b c (Å): 7.8516 5.3196 7.6416
angles (deg): 90.00 100.03 90.00
Space group P2/c (No. 13)
Asymmetric unit:
Cs  0.0000  0.1595  0.2500 (multiplicity 2)
Hg  0.5000  0.0000  0.0000 (multiplicity 2)
Pd  0.5000  0.4404  0.2500 (multiplicity 2)
Se  0.2906  0.3680  0.9566 (multiplicity 4)

Results
The total energy comes out at -3.12 eV per atom.

***

Copy entry 2 word for word.
The following is a PBE calculation of CsHgPdSe2 after structural relaxation, from Alexandria.

a b c (Å): 7.8516 5.3196 7.6416
angles (deg): 90.00 100.03 90.00
Space group P2/c (No. 13)
Asymmetric unit:
Cs  0.0000  0.1595  0.2500 (multiplicity 2)
Hg  0.5000  0.0000  0.0000 (multiplicity 2)
Pd  0.5000  0.4404  0.2500 (multiplicity 2)
Se  0.2906  0.3680  0.9566 (multiplicity 4)

Results
The total energy comes out at -3.12 eV per atom.

***

Copy entry 2 word for word.
The following is a PBE calculation of CsHgPdSe2 after structural relaxation, from Alexandria.

a b c (Å): 7.8516 5.3196 7.6416
angles (deg): 90.00 100.03 90.00
Space group P2/c (No. 13)
Asymmetric unit:
Cs  0.0000  0.1595  0.2500 (multiplicity 2)
Hg  0.5000  0.0000  0.0000 (multiplicity 2)
Pd  0.5000  0.4404  0.2500 (multiplicity 2)
Se  0.2906  0.3680  0.9566 (multiplicity 4)

Results
The total energy comes out at -3.12 eV per atom.